{"formula": "Mg2CdIn2Hg5", "functional": "PBE", "state": "relaxed", "lattice": [[12.4243, 0.0000, 0.0000], [0.0000, 12.4243, 0.0000], [0.0000, 0.0000, 3.3141]], "species": ["Mg", "Mg", "Mg", "Mg", "Cd", "Cd", "In", "In", "In", "In", "Hg", "Hg", "Hg", "Hg", "Hg", "Hg", "Hg", "Hg", "Hg", "Hg"], "fractional_positions": [[0.1415, 0.3585, 0.0000], [0.3585, 0.8585, 0.0000], [0.6415, 0.1415, 0.0000], [0.8585, 0.6415, 0.0000], [0.0000, 0.0000, 0.0000], [0.5000, 0.5000, 0.0000], [0.1752, 0.6752, 0.0000], [0.3248, 0.1752, 0.0000], [0.6752, 0.8248, 0.0000], [0.8248, 0.3248, 0.0000], [0.0000, 0.5000, 0.5000], [0.0281, 0.2027, 0.5000], [0.2027, 0.9719, 0.5000], [0.2973, 0.4719, 0.5000], [0.4719, 0.7027, 0.5000], [0.5000, 0.0000, 0.5000], [0.5281, 0.2973, 0.5000], [0.7027, 0.5281, 0.5000], [0.7973, 0.0281, 0.5000], [0.9719, 0.7973, 0.5000]], "volume_a3_per_cell": 511.6, "space_group": "No. 127", "magnetic_moment_mub_per_fu": 0.00, "formation_energy_ev_per_fu": -0.28}